(1)
VASP calculation (PBE) on crystalline Pm2Nd5SmSc at its relaxed geometry.

a = 5.446 Å, b = 22.128 Å, c = 10.278 Å
α = 90.00°, β = 90.00°, γ = 90.00°
Space group Cmc2_1 (No. 36)
Inequivalent atoms, fractional coordinates:
Pm 0.000 0.116 0.000
Pm 0.000 0.117 0.496
Nd 0.000 0.001 0.248
Nd 0.000 0.277 0.060
Nd 0.000 0.278 0.436
Nd 0.000 0.373 0.748
Nd 0.000 0.500 0.498
Sm 0.000 0.398 0.248
Sc 0.000 0.214 0.748

Summary:
The formation enthalpy at 0 K comes out at 0.1200 eV per atom. The calculation puts the density of states at the Fermi level at 53.78 states/eV per cell. The calculation puts the total DFT energy (no corrections) at -4.81 eV per atom.

***

(2)
VASP calculation (PBE) on crystalline KCaW at its relaxed geometry.

a = 5.6726 Å, b = 5.6726 Å, c = 2.7828 Å
α = 90.00°, β = 90.00°, γ = 120.00°
Space group P3m1 (No. 156)
Inequivalent atoms, fractional coordinates:
K 0.0000 0.0000 0.0000
Ca 0.3333 0.6667 0.0048
W 0.6667 0.3333 0.5029

Summary:
The formation enthalpy at 0 K comes out at 1.4479 eV per atom. The calculation puts the density of states at the Fermi level at 4.11 states/eV per cell. The calculation puts the total DFT energy (no corrections) at -3.90 eV per atom.

***

(3)
VASP calculation (PBE) on crystalline CdInAg2 at its relaxed geometry.

a = 3.533 Å, b = 5.009 Å, c = 9.288 Å
α = 90.00°, β = 90.00°, γ = 90.00°
Space group Cmmm (No. 65)
Inequivalent atoms, fractional coordinates:
Cd 0.000 0.000 0.000
In 0.000 0.000 0.500
Ag 0.000 0.500 0.246

Summary:
The formation enthalpy at 0 K comes out at 0.0468 eV per atom. The calculation puts the density of states at the Fermi level at 3.32 states/eV per cell. The calculation puts the total DFT energy (no corrections) at -2.29 eV per atom.

***

(4)
VASP calculation (PBE) on crystalline Zr2PtAu at its relaxed geometry.

a = 9.761 Å, b = 3.306 Å, c = 4.985 Å
α = 90.00°, β = 102.28°, γ = 90.00°
Space group Cm (No. 8)
Inequivalent atoms, fractional coordinates:
Zr 0.000 0.000 0.000
Zr 0.230 0.000 0.660
Pt 0.239 0.500 0.176
Au 0.482 0.000 0.477

Summary:
The formation enthalpy at 0 K comes out at -0.6290 eV per atom. The calculation puts the density of states at the Fermi level at 8.02 states/eV per cell. The calculation puts the total DFT energy (no corrections) at -7.23 eV per atom.

***

(5)
VASP calculation (PBE) on crystalline U2IrS6 at its relaxed geometry.

a = 5.994 Å, b = 6.958 Å, c = 10.282 Å
α = 90.00°, β = 123.99°, γ = 90.00°
Space group P2_1/c (No. 14)
Inequivalent atoms, fractional coordinates:
U 0.194 0.127 0.252
Ir 0.000 0.000 0.500
S 0.096 0.187 0.945
S 0.283 0.677 0.944
S 0.402 0.041 0.756

Summary:
The uncorrected formation energy comes out at -1.05 eV per atom. The calculation puts the density of states at the Fermi level at 24.70 states/eV per cell. The calculation puts the total DFT energy (no corrections) at -7.29 eV per atom.

***

(6)
VASP calculation (PBE) on crystalline TbGe4Rh2 at its relaxed geometry.

a = 17.263 Å, b = 4.243 Å, c = 6.689 Å
α = 90.00°, β = 90.00°, γ = 90.00°
Space group Pnma (No. 62)
Inequivalent atoms, fractional coordinates:
Tb 0.142 0.250 0.002
Ge 0.034 0.750 0.865
Ge 0.065 0.250 0.466
Ge 0.182 0.750 0.305
Ge 0.193 0.750 0.723
Rh 0.031 0.750 0.249
Rh 0.211 0.250 0.518

Summary:
The formation enthalpy at 0 K comes out at -0.6480 eV per atom. The calculation puts the density of states at the Fermi level at 10.39 states/eV per cell. The calculation puts the total DFT energy (no corrections) at -6.05 eV per atom.

***

(7)
VASP calculation (PBE) on crystalline Dy3SnBi at its relaxed geometry.

a = 17.180 Å, b = 4.639 Å, c = 8.619 Å
α = 90.00°, β = 94.43°, γ = 90.00°
Space group C2/m (No. 12)
Inequivalent atoms, fractional coordinates:
Dy 0.037 0.000 0.249
Dy 0.174 0.000 0.946
Dy 0.242 0.500 0.656
Sn 0.151 0.500 0.177
Bi 0.117 0.000 0.587

Summary:
The formation enthalpy at 0 K comes out at -0.3894 eV per atom. The calculation puts the density of states at the Fermi level at 13.58 states/eV per cell. The calculation puts the total DFT energy (no corrections) at -4.73 eV per atom.

***

(8)
VASP calculation (PBE) on crystalline TiSiMo3 at its relaxed geometry.

a = 4.494 Å, b = 4.494 Å, c = 4.494 Å
α = 90.00°, β = 90.00°, γ = 90.00°
Space group Pm-3m (No. 221)
Inequivalent atoms, fractional coordinates:
Ti 0.000 0.000 0.000
Si 0.500 0.500 0.500
Mo 0.000 0.500 0.500

Summary:
The uncorrected formation energy comes out at 0.81 eV per atom. The calculation puts the density of states at the Fermi level at 5.60 states/eV per cell. The calculation puts the total DFT energy (no corrections) at -8.35 eV per atom.

***

(9)
VASP calculation (PBE) on crystalline CdRhW at its relaxed geometry.

a = 6.118 Å, b = 6.118 Å, c = 6.118 Å
α = 90.00°, β = 90.00°, γ = 90.00°
Space group F-43m (No. 216)
Inequivalent atoms, fractional coordinates:
Cd 0.000 0.000 0.000
Rh 0.250 0.250 0.750
W 0.000 0.000 0.500

Summary:
The formation enthalpy at 0 K comes out at 0.5750 eV per atom. The calculation puts the density of states at the Fermi level at 25.83 states/eV per cell. The calculation puts the total DFT energy (no corrections) at -6.50 eV per atom.

***

(10)
VASP calculation (PBE) on crystalline MnCrFe at its relaxed geometry.

a = 3.9678 Å, b = 3.9678 Å, c = 4.9598 Å
α = 90.00°, β = 90.00°, γ = 120.00°
Space group P-3m1 (No. 164)
Inequivalent atoms, fractional coordinates:
Mn 0.0000 0.0000 0.2487
Cr 0.3333 0.6667 0.0897
Fe 0.3333 0.6667 0.5797

Summary:
The formation enthalpy at 0 K comes out at 0.0705 eV per atom. The calculation puts the density of states at the Fermi level at 5.85 states/eV per cell. The calculation puts the total DFT energy (no corrections) at -9.01 eV per atom.

***

(11)
VASP calculation (PBE) on crystalline ThZnAg2 at its relaxed geometry.

a = 3.413 Å, b = 21.128 Å, c = 4.740 Å
α = 90.00°, β = 90.00°, γ = 90.00°
Space group Cmcm (No. 63)
Inequivalent atoms, fractional coordinates:
Th 0.000 0.101 0.250
Zn 0.000 0.335 0.250
Ag 0.000 0.265 0.750
Ag 0.000 0.465 0.250

Summary:
The formation enthalpy at 0 K comes out at -0.1400 eV per atom. The calculation puts the density of states at the Fermi level at 11.69 states/eV per cell. The calculation puts the total DFT energy (no corrections) at -3.74 eV per atom.

***

(12)
VASP calculation (PBE) on crystalline CoReMoRh2 at its relaxed geometry.

a = 4.670 Å, b = 4.670 Å, c = 4.670 Å
α = 90.00°, β = 90.00°, γ = 90.00°
Space group P4/mmm (No. 123)
Inequivalent atoms, fractional coordinates:
Co 0.000 0.000 0.000
Re 0.500 0.500 0.500
Mo 0.500 0.500 0.000
Rh 0.000 0.500 0.500

Summary:
The formation enthalpy at 0 K comes out at 1.8322 eV per atom. The calculation puts the density of states at the Fermi level at 11.70 states/eV per cell. The calculation puts the total DFT energy (no corrections) at -7.19 eV per atom.

***

Which value of total DFT energy (no corrections) does entry 10 give?
-9.01 eV per atom

***

What is the total DFT energy (no corrections) in the second record?
-3.90 eV per atom

***

total DFT energy (no corrections) of number 7 (Dy3SnBi)?
-4.73 eV per atom

***

The highest total DFT energy (no corrections) belongs to which entry?
CdInAg2